Entry from Alexandria: crystalline CuH at its relaxed geometry (PBE-GGA).

E_tot   -3.4707 eV/atom
Crystal system   orthorhombic

Cell lengths 4.7408, 4.5096, 4.2777 Å; angles 65.24, 59.74, 55.02 degrees
Element x y z (fractional)
1 Cu 0.1216 0.6284 0.6284
2 Cu 0.3716 0.8784 0.8784
3 Cu 0.6284 0.1216 0.1216
4 Cu 0.8784 0.3716 0.3716
5 H 0.2050 0.2050 0.5450
6 H 0.4550 0.4550 0.7950
7 H 0.5450 0.5450 0.2050
8 H 0.7950 0.7950 0.4550

---

Entry from Alexandria: crystalline Sr5Mn3 at its relaxed geometry (PBE-GGA).

E_tot   -3.9808 eV/atom
Crystal system   hexagonal
Formation energy   0.509 eV per atom

Cell lengths 9.8212, 9.8212, 7.0464 Å; angles 90.00, 90.00, 120.00 degrees
Element x y z (fractional)
1 Sr 0.0000 0.2523 0.2500
2 Sr 0.0000 0.7477 0.7500
3 Sr 0.2523 0.0000 0.2500
4 Sr 0.2523 0.2523 0.7500
5 Sr 0.3333 0.6667 0.0000
6 Sr 0.3333 0.6667 0.5000
7 Sr 0.6667 0.3333 0.0000
8 Sr 0.6667 0.3333 0.5000
9 Sr 0.7477 0.0000 0.7500
10 Sr 0.7477 0.7477 0.2500
11 Mn 0.0000 0.4080 0.7500
12 Mn 0.0000 0.5920 0.2500
13 Mn 0.4080 0.0000 0.7500
14 Mn 0.4080 0.4080 0.2500
15 Mn 0.5920 0.0000 0.2500
16 Mn 0.5920 0.5920 0.7500

---

Entry from Alexandria: crystalline Ca2Nd4Er at its relaxed geometry (PBE-GGA).

E_tot   -3.3650 eV/atom
Crystal system   tetragonal
Formation energy   0.583 eV per atom

Cell lengths 5.7725, 5.7725, 17.9962 Å; angles 90.00, 90.00, 90.00 degrees
Element x y z (fractional)
1 Ca 0.0000 0.0000 0.1269
2 Ca 0.0000 0.0000 0.8731
3 Ca 0.5000 0.5000 0.3731
4 Ca 0.5000 0.5000 0.6269
5 Nd 0.0000 0.0000 0.3281
6 Nd 0.0000 0.0000 0.6719
7 Nd 0.0000 0.5000 0.0000
8 Nd 0.0000 0.5000 0.5000
9 Nd 0.5000 0.0000 0.0000
10 Nd 0.5000 0.0000 0.5000
11 Nd 0.5000 0.5000 0.1719
12 Nd 0.5000 0.5000 0.8281
13 Er 0.0000 0.0000 0.5000
14 Er 0.5000 0.5000 0.0000